(1)
Material: CoTcHRu2
Method: DFT, GGA-PBE
State: relaxed

## Properties
Calculated total energy   -7.78 eV/atom

abc: 3.8487 3.8487 3.7136
angles: 90.00 90.00 90.00
Sites, in units of the cell vectors:
Co  0.0000  0.0000  0.0000
Tc  0.5000  0.5000  0.0000
H  0.0000  0.0000  0.5000
Ru  0.0000  0.5000  0.5000
Ru  0.5000  0.0000  0.5000

(2)
Material: CsTbPb2I8
Method: DFT, GGA-PBE
State: relaxed

## Properties
Formation energy (no corrections)   -1146 kJ/mol of formula units

abc: 7.4551 7.8541 10.0719
angles: 89.70 89.60 88.29
Sites, in units of the cell vectors:
Cs  0.0000  0.0000  0.0000
Tb  0.0000  0.0000  0.5000
Pb  0.4991  0.5000  0.2496
Pb  0.5009  0.5000  0.7504
I  0.2329  0.3250  0.4998
I  0.2522  0.8452  0.7070
I  0.2544  0.8476  0.2918
I  0.2660  0.3914  0.0023
I  0.7340  0.6086  0.9977
I  0.7456  0.1524  0.7082
I  0.7478  0.1548  0.2930
I  0.7671  0.6750  0.5002

(3)
Material: Na2PaSnS4
Method: DFT, GGA-PBE
State: relaxed

## Properties
Formation energy (no corrections)   -920 kJ/mol of formula units

abc: 6.9925 4.0544 7.2486
angles: 90.00 109.23 90.00
Sites, in units of the cell vectors:
Na  0.0000  0.0000  0.0000
Na  0.0000  0.5000  0.5000
Pa  0.5000  0.0000  0.5000
Sn  0.5000  0.5000  0.0000
S  0.2705  0.0000  0.7347
S  0.2723  0.5000  0.2683
S  0.7277  0.5000  0.7317
S  0.7295  0.0000  0.2653

(4)
Material: ThIrF
Method: DFT, GGA-PBE
State: relaxed

## Properties
Formation energy (no corrections)   -595 kJ/mol of formula units

abc: 3.7040 3.8752 7.9993
angles: 90.00 103.28 90.00
Sites, in units of the cell vectors:
Th  0.1345  0.2500  0.2669
Th  0.8655  0.7500  0.7331
Ir  0.4405  0.2500  0.8854
Ir  0.5595  0.7500  0.1146
F  0.2509  0.7500  0.5016
F  0.7491  0.2500  0.4984

(5)
Material: Cs5HfSe5
Method: DFT, GGA-PBE
State: relaxed

## Properties
Formation energy (no corrections)   -1081 kJ/mol of formula units

abc: 8.7937 8.7937 9.4415
angles: 109.91 109.91 43.68
Sites, in units of the cell vectors:
Cs  0.0000  0.0000  0.0000
Cs  0.2980  0.2980  0.2090
Cs  0.3416  0.3416  0.6828
Cs  0.6584  0.6584  0.3172
Cs  0.7020  0.7020  0.7910
Hf  0.0000  0.0000  0.5000
Se  0.1251  0.1251  0.7769
Se  0.1266  0.1266  0.3906
Se  0.5000  0.5000  0.5000
Se  0.8734  0.8734  0.6094
Se  0.8749  0.8749  0.2231

(6)
Material: ScBr3F
Method: DFT, GGA-PBE
State: relaxed

## Properties
Formation energy (no corrections)   -99 kJ/mol of formula units

abc: 4.9227 4.9227 4.9227
angles: 90.00 90.00 90.00
Sites, in units of the cell vectors:
Sc  0.0000  0.0000  0.0000
Br  0.0000  0.5000  0.5000
Br  0.5000  0.0000  0.5000
Br  0.5000  0.5000  0.0000
F  0.5000  0.5000  0.5000

Which formula does entry 2 have?
CsTbPb2I8